Density functional theory data (PBE-GGA) for an optimized crystal structure of LiCe3Er3S8.

```
LiCe3Er3S8
1.0
-0.7752 7.6810 -1.1402
-6.3053 -4.4052 1.3187
5.0882 1.3845 5.8617
Er S Li Ce
3 8 1 3
Direct
0.0000 0.5000 0.5000 Er
0.5000 0.5000 0.5000 Er
0.5000 0.0000 0.5000 Er
0.7472 0.9916 0.7361 S
0.2528 0.0084 0.2639 S
0.2446 0.9917 0.7362 S
0.2445 0.4891 0.7362 S
0.7451 0.4902 0.7352 S
0.7555 0.5109 0.2638 S
0.2549 0.5098 0.2648 S
0.7554 0.0083 0.2638 S
0.0000 0.0000 0.5000 Li
0.5000 0.5000 0.0000 Ce
0.0000 0.5000 0.0000 Ce
0.0000 0.0000 0.0000 Ce
```

Computed properties:
Space-group type: R-3m (166)
Total DFT energy (no corrections) in eV per atom: -6.38
Density of states at the Fermi level in states/eV/atom: 1.25
Total magnetic moment in μB/f.u.: 2.6
Energy relative to the elements, uncorrected in eV/atom: -1.9562